First-principles (GGA-PBE) data for a relaxed structure of ZrTaZn2, as listed in the Open Quantum Materials Database.

Output
Calculated density in Mg/m³: 9.242
Energy relative to the elements in eV/atom: 0.396
Space group: F-43m

a b c (Å): 4.678 4.678 4.678
angles (deg): 60.00 60.00 60.00
Last column: magnetic moment on the atom in μB.
Element x y z (fractional)
Zn  0.750  0.750  0.750  0.02
Zn  0.000  0.000  0.000  0.01
Ta  0.500  0.500  0.500  0.83
Zr  0.250  0.250  0.250  0.54



First-principles (GGA-PBE) data for a relaxed structure of ZrTaZn, as listed in the Open Quantum Materials Database.

Output
Calculated density in Mg/m³: 9.203
Energy relative to the elements in eV/atom: 0.444
Space group: F-43m

a b c (Å): 4.417 4.417 4.417
angles (deg): 60.00 60.00 60.00
Element x y z (fractional)
Zr  0.750  0.750  0.750
Zn  0.000  0.000  0.000
Ta  0.250  0.250  0.250



First-principles (GGA-PBE) data for a relaxed structure of ZrTa, as listed in the Open Quantum Materials Database.

Output
Calculated density in Mg/m³: 10.971
Energy relative to the elements in eV/atom: 0.199
Space group: Pmma

a b c (Å): 5.638 2.909 5.023
angles (deg): 90.00 90.00 90.00
Element x y z (fractional)
Zr  0.308  0.000  0.500
Zr  0.026  0.000  0.000
Ta  0.791  0.500  0.500
Ta  0.543  0.500  0.000